Computed, not measured: a geometry-optimized HfZr2Nb structure at the GGA-PBE level of DFT.

## Properties
Offset from the most stable computed form: 461.1 meV/atom
V: 22.211 Å³/atom
Calculated formation energy: 0.541 eV per atom
Symmetry: I-42d (122)
Total magnetization: 0.00 μB/cell

Cell lengths 7.7353, 7.7353, 6.2238 Å; angles 51.58, 51.58, 90.00 degrees
Element x y z (fractional)
Nb 0.5000 0.5000 0.0000
Nb 0.2500 0.7500 0.5000
Hf 0.0000 0.0000 0.0000
Hf 0.7500 0.2500 0.5000
Zr 0.6130 0.1250 0.2500
Zr 0.1370 0.6250 0.2500
Zr 0.3750 0.3870 0.7500
Zr 0.8750 0.8630 0.7500